# PBE+U NaPmCoF6, optimized geometry
# - E (eV/cell) = -100.29
# - total magnetic moment (μB per formula unit) = 3.000
data_NaPmCoF6
_space_group_name_H-M_alt 'P -3 1 c'
_space_group_IT_number 163
_space_group_name_Hall '-P 3 2c'
_cell_length_a 5.7872
_cell_length_b 5.7872
_cell_length_c 9.4101
_cell_angle_alpha 90.00
_cell_angle_beta 90.00
_cell_angle_gamma 120.00
loop_
_atom_site_label
_atom_site_type_symbol
_atom_site_fract_x
_atom_site_fract_y
_atom_site_fract_z
Na1 Na 0.0000 0.0000 0.0000
Pm1 Pm 0.3333 0.6667 0.2500
Co1 Co 0.3333 0.6667 0.7500
F1 F 0.0277 0.3648 0.6337